1.
DFT (PBE-GGA) results for an optimized crystal structure of NaTh3Se4.

Output
D(E_F), states/eV/f.u.: 4.69
Formation energy from raw total energies, meV/atom: -1511

The structure in POSCAR format:
```
NaTh3Se4
1.0
4.1681 -0.0520 0.0706
0.0533 6.9975 2.0039
-0.1186 0.3681 7.2687
Na Se Th
1 4 3
Direct
0.5000 0.5003 0.9998 Na
0.0000 0.7427 0.7574 Se
0.5000 0.7440 0.2440 Se
0.0000 0.2575 0.2426 Se
0.4998 0.2561 0.7560 Se
0.5000 0.0001 0.5000 Th
0.9999 0.0001 0.0000 Th
0.9999 0.5000 0.5000 Th
```



2.
DFT (PBE-GGA) results for an optimized crystal structure of Li4MgGa.

Output
Formation energy, eV per atom: -0.17
Energy above the lowest structure with this stoichiometry, eV/atom: 0.000
D(E_F), states/eV/f.u.: 2.27

The structure in POSCAR format:
```
Li4MgGa
1.0
4.1089 0.0000 -2.0240
0.0000 8.0581 0.0000
-1.6437 0.0000 7.0618
Li Mg Ga
8 2 2
Direct
0.2283 0.6675 0.2275 Li
0.2717 0.1675 0.7725 Li
0.2271 0.3323 0.2269 Li
0.2729 0.8323 0.7731 Li
0.7717 0.3325 0.7725 Li
0.7283 0.8325 0.2275 Li
0.7729 0.6677 0.7731 Li
0.7271 0.1677 0.2269 Li
0.5000 0.0000 0.5000 Mg
0.0000 0.5000 0.5000 Mg
0.0000 0.0000 0.0000 Ga
0.5000 0.5000 0.0000 Ga
```